A PBEsol-optimized structure of CuAgAu4, computed with SCAN.

Structure (POSCAR):
```
CuAgAu4
1.0
5.3429 0.0000 0.0000
2.6714 4.6270 0.0000
2.6714 1.5423 4.3624
Au Cu Ag
4 1 1
Direct
0.3751 0.8747 0.3751
0.8747 0.3751 0.3751
0.3751 0.3751 0.8747
0.3751 0.3751 0.3751
0.7500 0.7500 0.7500
0.0000 0.0000 0.0000
```

total magnetic moment	0.000	μB per atom
energy of formation	0.173	eV/atom
V	107.8	Å³/cell
uncorrected energy	-53.693	eV/atom